Entry 1:
Below is a geometry-optimized Sr2BeFe structure, with properties calculated at the PBE level.

Computed properties:
Theoretical density: 3.3 g/cm³
Crystal system: trigonal
Raw total energy: -11.757 eV/cell
ΔE_f: 3.80 eV/f.u.
Space group: No. 166

abc: 9.0760 9.0760 9.0760
angles: 25.52 25.52 25.52
Sites, in units of the cell vectors:
Sr: 0.2484 0.2484 0.2484
Sr: 0.7516 0.7516 0.7516
Be: 0.5000 0.5000 0.5000
Fe: 0.0000 0.0000 0.0000

Entry 2:
Below is a geometry-optimized Rb2VPb2 structure, with properties calculated at the PBE level.

Computed properties:
Theoretical density: 5.4 g/cm³
Excess energy over the best structure of this formula in the dataset: 0.618 eV/f.u.
Crystal system: tetragonal
Raw total energy: -28.201 eV/cell
ΔE_f: 4.37 eV/f.u.
Space group: No. 127

abc: 10.7007 10.7007 3.4072
angles: 90.00 90.00 90.00
Sites, in units of the cell vectors:
Rb: 0.1280 0.3720 0.0000
Rb: 0.3720 0.8720 0.0000
Rb: 0.6280 0.1280 0.0000
Rb: 0.8720 0.6280 0.0000
V: 0.0000 0.0000 0.0000
V: 0.5000 0.5000 0.0000
Pb: 0.1719 0.6719 0.5000
Pb: 0.3281 0.1719 0.5000
Pb: 0.6719 0.8281 0.5000
Pb: 0.8281 0.3281 0.5000

Entry 3:
Below is a geometry-optimized NbBrOF2 structure, with properties calculated at the PBE level.

Computed properties:
Theoretical density: 4.2 g/cm³
Excess energy over the best structure of this formula in the dataset: 10.372 eV/f.u.
Crystal system: tetragonal
Raw total energy: -18.920 eV/cell
ΔE_f (raw): 0.30 eV/atom
Space group: No. 123

abc: 4.9506 4.9506 3.6690
angles: 90.00 90.00 90.00
Sites, in units of the cell vectors:
Nb: 0.0000 0.0000 0.0000
Br: 0.5000 0.5000 0.5000
O: 0.5000 0.5000 0.0000
F: 0.0000 0.5000 0.5000
F: 0.5000 0.0000 0.5000

Entry 4:
Below is a geometry-optimized HfGaTc structure, with properties calculated at the PBE level.

Computed properties:
Theoretical density: 11.4 g/cm³
Excess energy over the best structure of this formula in the dataset: 0.011 eV/f.u.
Crystal system: orthorhombic
Raw total energy: -49.438 eV/cell
ΔE_f: -1.37 eV/f.u.
Space group: No. 74

abc: 5.2054 5.2054 5.2054
angles: 119.44 119.14 91.23
Sites, in units of the cell vectors:
Hf: 0.3828 0.1328 0.2500
Hf: 0.6172 0.8672 0.7500
Ga: 0.0000 0.0000 0.5000
Ga: 0.0000 0.5000 0.0000
Tc: 0.0000 0.5000 0.5000
Tc: 0.5000 0.5000 0.0000